Run w
## BaNa2Sr2 (GGA-PBE)

Data for crystalline BaNa2Sr2 at its relaxed geometry.

Computed properties:
Space group: No. 127
N(E_F) in states/eV/atom: 0.518

Cell: 10.453 10.453 4.589 Å, 90.00 90.00 90.00°
Fractional positions:
Na (0.124, 0.376, 0.000)
Na (0.376, 0.876, 0.000)
Na (0.624, 0.124, 0.000)
Na (0.876, 0.624, 0.000)
Sr (0.830, 0.330, 0.500)
Sr (0.330, 0.170, 0.500)
Sr (0.670, 0.830, 0.500)
Sr (0.170, 0.670, 0.500)
Ba (0.500, 0.500, 0.000)
Ba (0.000, 0.000, 0.000)



Run x
## BaNa2Sr2 (GGA-PBE)

Data for crystalline BaNa2Sr2 at its relaxed geometry.

Computed properties:
Space group: No. 127
N(E_F) in states/eV/atom: 0.999

Cell: 11.010 11.010 4.175 Å, 90.00 90.00 90.00°
Fractional positions:
Na (0.665, 0.835, 0.500)
Na (0.335, 0.165, 0.500)
Na (0.835, 0.335, 0.500)
Na (0.165, 0.665, 0.500)
Sr (0.132, 0.368, 0.000)
Sr (0.632, 0.132, 0.000)
Sr (0.368, 0.868, 0.000)
Sr (0.868, 0.632, 0.000)
Ba (0.000, 0.000, 0.000)
Ba (0.500, 0.500, 0.000)



Which is the most stable structure? run w is the most stable.



Run w
## Ba4NaSr (GGA-PBE)

Data for crystalline Ba4NaSr at its relaxed geometry.

Computed properties:
Space group: No. 123
N(E_F) in states/eV/atom: 1.469

Cell: 4.539 4.539 17.149 Å, 90.00 90.00 90.00°
Fractional positions:
Ba (0.500, 0.500, 0.857)
Ba (0.500, 0.500, 0.143)
Ba (0.000, 0.000, 0.330)
Ba (0.000, 0.000, 0.670)
Sr (0.500, 0.500, 0.500)
Na (0.000, 0.000, 0.000)



Run x
## Ba4NaSr (GGA-PBE)

Data for crystalline Ba4NaSr at its relaxed geometry.

Computed properties:
Space group: No. 12
N(E_F) in states/eV/atom: 1.310

Cell: 4.180 7.279 12.482 Å, 83.95 80.36 73.31°
Fractional positions:
Ba (0.345, 0.466, 0.844)
Ba (0.655, 0.534, 0.156)
Ba (0.162, 0.014, 0.663)
Ba (0.838, 0.986, 0.337)
Na (0.000, 0.000, 0.000)
Sr (0.500, 0.500, 0.500)



Which is the most stable structure? run w is the most stable.



Run w
## BaNaSr (GGA-PBE)

Data for crystalline BaNaSr at its relaxed geometry.

Computed properties:
Space group: No. 216
N(E_F) in states/eV/atom: 1.091

Cell: 6.295 6.295 6.295 Å, 60.00 60.00 60.00°
Fractional positions:
Sr (0.500, 0.500, 0.500)
Ba (0.000, 0.000, 0.000)
Na (0.250, 0.250, 0.250)



Run x
## BaNaSr (GGA-PBE)

Data for crystalline BaNaSr at its relaxed geometry.

Computed properties:
Space group: No. 156
N(E_F) in states/eV/atom: 1.094

Cell: 4.259 6.628 6.628 Å, 120.00 90.00 90.00°
Fractional positions:
Sr (0.081, 0.000, 0.000)
Na (0.284, 0.333, 0.667)
Ba (0.635, 0.667, 0.333)



Run y
## BaNaSr (GGA-PBE)

Data for crystalline BaNaSr at its relaxed geometry.

Computed properties:
Space group: No. 63
N(E_F) in states/eV/atom: 1.020

Cell: 7.699 4.036 10.826 Å, 100.74 90.00 90.00°
Fractional positions:
Na (0.250, 0.840, 0.680)
Na (0.750, 0.160, 0.320)
Sr (0.250, 0.663, 0.326)
Sr (0.750, 0.337, 0.674)
Ba (0.500, 0.000, 0.000)
Ba (0.000, 0.000, 0.000)



Which is the most stable structure? run x is the most stable.



Run w
## BaNaSr (GGA-PBE)

Data for crystalline BaNaSr at its relaxed geometry.

Computed properties:
Space group: No. 107
N(E_F) in states/eV/atom: 1.073

Cell: 4.527 4.527 8.413 Å, 105.61 105.61 90.00°
Fractional positions:
Na (0.672, 0.672, 0.344)
Sr (0.316, 0.316, 0.632)
Ba (0.012, 0.012, 0.024)



Run x
## BaNaSr (GGA-PBE)

Data for crystalline BaNaSr at its relaxed geometry.

Computed properties:
Space group: No. 198
N(E_F) in states/eV/atom: 1.466

Cell: 8.840 8.840 8.840 Å, 90.00 90.00 90.00°
Fractional positions:
Na (0.512, 0.988, 0.012)
Na (0.988, 0.012, 0.512)
Na (0.488, 0.488, 0.488)
Na (0.012, 0.512, 0.988)
Ba (0.350, 0.850, 0.650)
Ba (0.650, 0.350, 0.850)
Ba (0.150, 0.150, 0.150)
Ba (0.850, 0.650, 0.350)
Sr (0.650, 0.150, 0.350)
Sr (0.150, 0.350, 0.650)
Sr (0.850, 0.850, 0.850)
Sr (0.350, 0.650, 0.150)



Which is the most stable structure? run w is the most stable.



Run w
## BaNa2Sr6 (GGA-PBE)

Data for crystalline BaNa2Sr6 at its relaxed geometry.

Computed properties:
Space group: No. 123
N(E_F) in states/eV/atom: 0.978

Cell: 5.889 5.889 13.919 Å, 90.00 90.00 90.00°
Fractional positions:
Sr (0.500, 0.500, 0.500)
Sr (0.500, 0.000, 0.277)
Sr (0.000, 0.000, 0.500)
Sr (0.000, 0.500, 0.277)
Sr (0.000, 0.500, 0.723)
Sr (0.500, 0.000, 0.723)
Ba (0.000, 0.000, 0.000)
Na (0.500, 0.500, 0.891)
Na (0.500, 0.500, 0.109)



Run x
## BaNa2Sr6 (GGA-PBE)

Data for crystalline BaNa2Sr6 at its relaxed geometry.

Computed properties:
Space group: No. 12
N(E_F) in states/eV/atom: 0.865

Cell: 4.500 8.010 14.205 Å, 75.11 80.89 73.68°
Fractional positions:
Ba (0.000, 0.000, 0.000)
Na (0.658, 0.905, 0.780)
Na (0.342, 0.095, 0.220)
Sr (0.678, 0.219, 0.424)
Sr (0.985, 0.691, 0.339)
Sr (0.681, 0.514, 0.124)
Sr (0.015, 0.309, 0.661)
Sr (0.322, 0.781, 0.576)
Sr (0.319, 0.486, 0.876)



Which is the most stable structure? run x is the most stable.



Run w
## Ba2Na2Sr7 (GGA-PBE)

Data for crystalline Ba2Na2Sr7 at its relaxed geometry.

Computed properties:
Space group: No. 12
N(E_F) in states/eV/atom: 1.038

Cell: 7.415 7.415 11.788 Å, 89.90 89.90 112.00°
Fractional positions:
Sr (0.734, 0.734, 0.297)
Sr (0.266, 0.266, 0.703)
Sr (0.444, 0.831, 0.850)
Sr (0.556, 0.169, 0.150)
Sr (0.000, 0.000, 0.000)
Sr (0.831, 0.444, 0.850)
Sr (0.169, 0.556, 0.150)
Ba (0.257, 0.743, 0.500)
Ba (0.743, 0.257, 0.500)
Na (0.204, 0.204, 0.369)
Na (0.796, 0.796, 0.631)



Run x
## Ba2Na2Sr7 (GGA-PBE)

Data for crystalline Ba2Na2Sr7 at its relaxed geometry.

Computed properties:
Space group: No. 12
N(E_F) in states/eV/atom: 1.022

Cell: 7.483 10.065 10.065 Å, 83.47 63.94 63.94°
Fractional positions:
Na (0.979, 0.740, 0.740)
Na (0.021, 0.260, 0.260)
Sr (0.837, 0.420, 0.919)
Sr (0.617, 0.600, 0.600)
Sr (0.837, 0.919, 0.420)
Sr (0.163, 0.081, 0.580)
Sr (0.000, 0.000, 0.000)
Sr (0.383, 0.400, 0.400)
Sr (0.163, 0.580, 0.081)
Ba (0.500, 0.821, 0.179)
Ba (0.500, 0.179, 0.821)



Which is the most stable structure? run w is the most stable.